BaBiPb2O4: relaxed, PBE.

M_tot: 0.00 μB per formula unit
formation energy (no corrections): -10.22 eV/f.u.

abc: 7.0897 7.0897 13.9397
angles: 90.00 90.00 149.66
Fractional coordinates of all 16 atoms:
Ba: 0.0259 0.9741 0.7500
Ba: 0.9741 0.0259 0.2500
Bi: 0.2369 0.7631 0.2500
Bi: 0.7631 0.2369 0.7500
Pb: 0.3775 0.6225 0.5076
Pb: 0.3775 0.6225 0.9924
Pb: 0.6225 0.3775 0.0076
Pb: 0.6225 0.3775 0.4924
O: 0.0000 0.0000 0.0000
O: 0.0000 0.0000 0.5000
O: 0.3662 0.6338 0.1521
O: 0.3662 0.6338 0.3479
O: 0.3662 0.6338 0.7500
O: 0.6338 0.3662 0.2500
O: 0.6338 0.3662 0.6521
O: 0.6338 0.3662 0.8479

Nd2CdSi3Pd4: relaxed, PBE.

M_tot: 0.00 μB per formula unit
formation energy (no corrections): -7.82 eV/f.u.

abc: 4.2901 4.2901 10.3517
angles: 90.00 90.00 90.00
Fractional coordinates of all 10 atoms:
Nd: 0.0000 0.5000 0.2445
Nd: 0.5000 0.0000 0.7555
Cd: 0.0000 0.0000 0.5000
Si: 0.0000 0.5000 0.8786
Si: 0.5000 0.0000 0.1214
Si: 0.5000 0.5000 0.5000
Pd: 0.0000 0.0000 0.0000
Pd: 0.0000 0.5000 0.6495
Pd: 0.5000 0.0000 0.3505
Pd: 0.5000 0.5000 0.0000

Zr2Ni9Mo: relaxed, PBE.

M_tot: 2.05 μB per formula unit
energy of formation from the pure elements: -229 meV/atom

abc: 3.7275 3.7275 11.1444
angles: 90.00 90.00 90.00
Fractional coordinates of all 12 atoms:
Zr: 0.0000 0.0000 0.1704
Zr: 0.0000 0.0000 0.8296
Ni: 0.0000 0.5000 0.0000
Ni: 0.0000 0.5000 0.3416
Ni: 0.0000 0.5000 0.6584
Ni: 0.5000 0.0000 0.0000
Ni: 0.5000 0.0000 0.3416
Ni: 0.5000 0.0000 0.6584
Ni: 0.5000 0.5000 0.1700
Ni: 0.5000 0.5000 0.5000
Ni: 0.5000 0.5000 0.8300
Mo: 0.0000 0.0000 0.5000

PrTm12In6: relaxed, PBE.

M_tot: 0.00 μB per formula unit
energy of formation from the pure elements: -46 meV/atom

abc: 8.7479 8.7479 8.7479
angles: 103.48 103.48 103.48
Fractional coordinates of all 19 atoms:
Pr: 0.0000 0.0000 0.0000
Tm: 0.1242 0.5000 0.8758
Tm: 0.1242 0.8758 0.5000
Tm: 0.1801 0.4459 0.4459
Tm: 0.4459 0.1801 0.4459
Tm: 0.4459 0.4459 0.1801
Tm: 0.5000 0.1242 0.8758
Tm: 0.5000 0.8758 0.1242
Tm: 0.5541 0.5541 0.8199
Tm: 0.5541 0.8199 0.5541
Tm: 0.8199 0.5541 0.5541
Tm: 0.8758 0.1242 0.5000
Tm: 0.8758 0.5000 0.1242
In: 0.2412 0.2412 0.6994
In: 0.2412 0.6994 0.2412
In: 0.3006 0.7588 0.7588
In: 0.6994 0.2412 0.2412
In: 0.7588 0.3006 0.7588
In: 0.7588 0.7588 0.3006

KInS3: relaxed, PBE.

M_tot: 0.00 μB per formula unit
formation energy (no corrections): -1.03 eV/f.u.
energy above the most stable polymorph in this dataset: 0 meV/atom

abc: 5.1314 5.1314 5.1314
angles: 90.00 90.00 90.00
Fractional coordinates of all 5 atoms:
K: 0.0000 0.0000 0.0000
In: 0.5000 0.5000 0.5000
S: 0.0000 0.5000 0.5000
S: 0.5000 0.0000 0.5000
S: 0.5000 0.5000 0.0000

Al3InSn: relaxed, PBE.

M_tot: 0.00 μB per formula unit
energy of formation from the pure elements: 754 meV/atom
energy above the most stable polymorph in this dataset: 0 meV/atom

abc: 5.3071 5.3071 5.3071
angles: 90.00 90.00 90.00
Fractional coordinates of all 5 atoms:
Al: 0.0000 0.0000 0.5000
Al: 0.0000 0.5000 0.0000
Al: 0.5000 0.0000 0.0000
In: 0.5000 0.5000 0.5000
Sn: 0.0000 0.0000 0.0000

Th2Ge3PdPt12: relaxed, PBE.

M_tot: 0.00 μB per formula unit
energy of formation from the pure elements: -355 meV/atom

abc: 7.7601 7.7601 7.7601
angles: 65.25 65.25 65.25
Fractional coordinates of all 18 atoms:
Th: 0.1162 0.1162 0.1162
Th: 0.8838 0.8838 0.8838
Ge: 0.0000 0.5000 0.5000
Ge: 0.5000 0.0000 0.5000
Ge: 0.5000 0.5000 0.0000
Pd: 0.5000 0.5000 0.5000
Pt: 0.1196 0.6394 0.6394
Pt: 0.1338 0.1339 0.6111
Pt: 0.1338 0.6111 0.1338
Pt: 0.3606 0.3606 0.8804
Pt: 0.3606 0.8804 0.3606
Pt: 0.3889 0.8662 0.8662
Pt: 0.6111 0.1338 0.1338
Pt: 0.6394 0.1196 0.6394
Pt: 0.6394 0.6394 0.1196
Pt: 0.8662 0.3889 0.8662
Pt: 0.8662 0.8662 0.3889
Pt: 0.8804 0.3606 0.3606

UMn2Pt8: relaxed, PBE.

M_tot: 8.11 μB per formula unit
energy of formation from the pure elements: -463 meV/atom

abc: 7.4660 7.4660 6.3724
angles: 106.46 106.46 31.75
Fractional coordinates of all 11 atoms:
U: 0.0000 0.0000 0.0000
Mn: 0.2769 0.2769 0.3514
Mn: 0.7231 0.7231 0.6486
Pt: 0.1011 0.1011 0.4531
Pt: 0.1811 0.1811 0.9192
Pt: 0.3566 0.3566 0.8028
Pt: 0.4555 0.4555 0.2735
Pt: 0.5445 0.5445 0.7265
Pt: 0.6434 0.6434 0.1972
Pt: 0.8189 0.8189 0.0808
Pt: 0.8989 0.8989 0.5469

| no. | density of states at the Fermi level (states/eV/cell) |
| --- | --- |
| 1 | 2.83 |
| 2 | 5.08 |
| 3 | 8.84 |
| 4 | 24.85 |
| 5 | 5.80 |
| 6 | 2.52 |
| 7 | 8.89 |
| 8 | 6.72 |